Record 1
Computed, not measured: a geometry-optimized LiBeSbPd structure at the PBE-GGA level of DFT.

Unit cell a=6.1757 b=6.1757 c=6.1757 alpha=90.00 beta=90.00 gamma=90.00
Last column: nearest neighbours and their distance in Å.
Space group F-43m (No. 216)
Unique sites:
Li 0.0000 0.0000 0.0000 (multiplicity 4)  4 Pd 2.67, 4 Sb 2.67
Be 0.0000 0.0000 0.5000 (multiplicity 4)  4 Sb 2.67, 4 Pd 2.67
Sb 0.2500 0.2500 0.7500 (multiplicity 4)  4 Li 2.67, 4 Be 2.67
Pd 0.2500 0.2500 0.2500 (multiplicity 4)  4 Li 2.67, 4 Be 2.67

Properties
Uncorrected energy, eV per atom: -3.953


Record 2
Computed, not measured: a geometry-optimized KRbPt2S4 structure at the PBE-GGA level of DFT.

Unit cell a=7.0136 b=5.6214 c=13.2502 alpha=90.00 beta=90.00 gamma=90.00
Last column: nearest neighbours and their distance in Å.
Space group Amm2 (No. 38)
Unique sites:
K 0.0000 0.0000 0.0000 (multiplicity 2)  6 S 3.34-3.39, 2 Pt 3.61
Rb 0.5000 0.0000 0.3422 (multiplicity 2)  6 S 3.34-3.40, 2 Pt 3.62
Pt 0.0000 0.0000 0.6711 (multiplicity 2)  4 S 2.31
Pt 0.5000 0.0000 0.6702 (multiplicity 2)  4 S 2.31-2.32
S 0.2492 0.0000 0.5568 (multiplicity 4)  2 Pt 2.31
S 0.2492 0.0000 0.7848 (multiplicity 4)  2 Pt 2.31-2.32

Properties
Uncorrected energy, eV per atom: -4.501


Record 3
Computed, not measured: a geometry-optimized Y2Nb4Au3C3 structure at the PBE-GGA level of DFT.

Unit cell a=9.8804 b=5.7067 c=14.5500 alpha=90.00 beta=103.40 gamma=90.00
Last column: nearest neighbours and their distance in Å.
Space group C2/c (No. 15)
Unique sites:
Y 0.0399 0.0795 0.3840 (multiplicity 8)  3 C 2.53-2.55
Nb 0.1092 0.4049 0.5769 (multiplicity 8)  3 C 2.16-2.21
Nb 0.2294 0.4223 0.9229 (multiplicity 8)  3 C 2.17-2.21
Au 0.0000 0.4344 0.7500 (multiplicity 4)  4 Au 2.86, 4 Nb 2.97
Au 0.2403 0.1517 0.7537 (multiplicity 8)  4 Au 2.86, 4 Nb 2.93-2.97
C 0.0862 0.2588 0.0000 (multiplicity 8)  4 Nb 2.16-2.21
C 0.2500 0.2500 0.5000 (multiplicity 4)  4 Nb 2.17

Properties
Uncorrected energy, eV per atom: -8.091


Record 4
Computed, not measured: a geometry-optimized ScAuSO structure at the PBE-GGA level of DFT.

Unit cell a=5.9101 b=6.4568 c=9.0065 alpha=102.22 beta=90.72 gamma=94.21
Last column: nearest neighbours and their distance in Å.
Space group P-1 (No. 2)
Unique sites:
Sc 0.1193 0.1718 0.1330 (multiplicity 2)  3 O 1.99-2.05
Sc 0.3520 0.6745 0.0109 (multiplicity 2)  3 O 1.97-2.05
Au 0.0860 0.7698 0.3065 (multiplicity 2)  2 S 2.33-2.34
Au 0.4059 0.2220 0.6845 (multiplicity 2)  2 S 2.37-2.42
S 0.1782 0.5242 0.7282 (multiplicity 2)  2 Au 2.33-2.42
S 0.3547 0.0619 0.3426 (multiplicity 2)  2 Au 2.34-2.37, 1 Sc 2.58
O 0.1895 0.9175 0.9775 (multiplicity 2)  3 Sc 1.97-2.05
O 0.3313 0.3750 0.0550 (multiplicity 2)  3 Sc 1.99-2.05

Properties
Uncorrected energy, eV per atom: -6.381


Record 5
Computed, not measured: a geometry-optimized ScInAu2 structure at the PBE-GGA level of DFT.

Unit cell a=6.7545 b=6.7545 c=6.7545 alpha=90.00 beta=90.00 gamma=90.00
Last column: nearest neighbours and their distance in Å.
Space group F-43m (No. 216)
Unique sites:
Sc 0.0000 0.0000 0.0000 (multiplicity 4)  4 Au 2.92, 4 In 2.92
In 0.2500 0.2500 0.7500 (multiplicity 4)  4 Sc 2.92, 4 Au 2.92
Au 0.0000 0.0000 0.5000 (multiplicity 4)  4 In 2.92, 4 Au 2.92
Au 0.2500 0.2500 0.2500 (multiplicity 4)  4 Sc 2.92, 4 Au 2.92

Properties
Uncorrected energy, eV per atom: -4.363


Record 6
Computed, not measured: a geometry-optimized Tl2Te6Pd3Pt structure at the PBE-GGA level of DFT.

Unit cell a=8.0780 b=8.0780 c=5.8161 alpha=90.00 beta=90.00 gamma=120.00
Last column: nearest neighbours and their distance in Å.
Space group P-3m1 (No. 164)
Unique sites:
Tl 0.3333 0.6667 0.1812 (multiplicity 2)  3 Pd 2.98
Te 0.1692 0.3384 0.7294 (multiplicity 6)  2 Pd 2.67, 1 Pt 2.72
Pd 0.0000 0.5000 0.5000 (multiplicity 3)  4 Te 2.67, 2 Tl 2.98
Pt 0.0000 0.0000 0.5000 (multiplicity 1)  6 Te 2.72

Properties
Uncorrected energy, eV per atom: -4.163


Record 7
Computed, not measured: a geometry-optimized AcTbNO structure at the PBE-GGA level of DFT.

Unit cell a=4.9250 b=4.9250 c=6.1056 alpha=90.00 beta=90.00 gamma=90.00
Last column: nearest neighbours and their distance in Å.
Space group P4/nmm (No. 129, origin choice 2)
Unique sites:
Ac 0.2500 0.7500 0.0000 (multiplicity 2)  4 N 2.58
Tb 0.2500 0.2500 0.4747 (multiplicity 2)  1 N 2.14
N 0.2500 0.2500 0.1249 (multiplicity 2)  1 Tb 2.14
O 0.2500 0.7500 0.5000 (multiplicity 2)  4 Tb 2.47

Properties
Uncorrected energy, eV per atom: -7.388


Record 8
Computed, not measured: a geometry-optimized BaSrHgSbAs structure at the PBE-GGA level of DFT.

Unit cell a=4.6928 b=18.0548 c=8.0479 alpha=90.00 beta=90.00 gamma=90.00
Last column: nearest neighbours and their distance in Å.
Space group Cmc2_1 (No. 36)
Unique sites:
Ba 0.0000 0.0298 0.0000 (multiplicity 4)  4 As 3.35-3.40, 1 Sb 3.40, 2 Hg 3.51
Sr 0.0000 0.1934 0.6683 (multiplicity 4)  2 As 3.30, 3 Sb 3.34-3.35
Hg 0.0000 0.4000 0.8575 (multiplicity 4)  1 As 2.87, 2 Sb 2.88
Sb 0.0000 0.1801 0.2544 (multiplicity 4)  2 Hg 2.88
As 0.0000 0.4343 0.2056 (multiplicity 4)  1 Hg 2.87

Properties
Uncorrected energy, eV per atom: -3.345